1.
Material: MgOs4Br
Method: DFT, PBEsol
State: optimized geometry

Lattice parameters (Å, degrees): 5.2166 5.2166 5.2166 60.00 60.00 60.00
Closest atoms and distances in Å follow each position.
Positions (direct):
Mg (0.0000, 0.0000, 0.0000)  12 Os 3.06, 4 Br 3.19
Os (0.3747, 0.3747, 0.3747)  6 Os 2.60-2.61
Os (0.3747, 0.3747, 0.8758)  6 Os 2.60-2.61
Os (0.3747, 0.8758, 0.3747)  6 Os 2.60-2.61
Os (0.8758, 0.3747, 0.3747)  6 Os 2.60-2.61
Br (0.7500, 0.7500, 0.7500)  12 Os 3.06, 4 Mg 3.19

Results
- formation energy (no corrections) (eV/atom) = 1.1360
- crystal system = cubic
- magnetization (μB/cell) = 0.0
- calculated total energy (hartree per atom) = -0.2795

---

2.
Material: Mg2OsBr
Method: DFT, PBEsol
State: optimized geometry

Lattice parameters (Å, degrees): 5.0812 5.0812 5.0812 132.83 132.83 68.92
Closest atoms and distances in Å follow each position.
Positions (direct):
Mg (0.2500, 0.7500, 0.5000)  4 Mg 2.88, 4 Br 2.92, 4 Os 2.92
Mg (0.7500, 0.2500, 0.5000)  4 Mg 2.88, 4 Br 2.92, 4 Os 2.92
Os (0.0000, 0.0000, 0.0000)  4 Br 2.88, 8 Mg 2.92
Br (0.5000, 0.5000, 0.0000)  4 Os 2.88, 8 Mg 2.92

Results
- excess energy over the best structure of this formula in the dataset (kJ/mol of atoms) = 13.0
- formation energy (no corrections) (eV/atom) = 0.5411
- crystal system = tetragonal
- magnetization (μB/cell) = 0.0
- calculated total energy (hartree per atom) = -0.1411

---

3.
Material: MgSbOs2Br
Method: DFT, PBEsol
State: optimized geometry

Lattice parameters (Å, degrees): 4.6403 4.6403 4.7152 90.00 90.00 90.00
Closest atoms and distances in Å follow each position.
Positions (direct):
Mg (0.0000, 0.0000, 0.0000)  2 Br 2.36
Sb (0.5000, 0.5000, 0.0000)  4 Mg 3.28, 8 Os 3.31
Os (0.0000, 0.5000, 0.5000)  2 Br 2.32
Os (0.5000, 0.0000, 0.5000)  2 Br 2.32
Br (0.0000, 0.0000, 0.5000)  4 Os 2.32, 2 Mg 2.36

Results
- formation energy (no corrections) (eV/atom) = 1.6474
- crystal system = tetragonal
- magnetization (μB/cell) = 0.0
- calculated total energy (hartree per atom) = -0.1789

---

4.
Material: MgP2Br
Method: DFT, PBEsol
State: optimized geometry

Lattice parameters (Å, degrees): 3.4215 5.1081 4.8713 90.00 103.91 90.00
Closest atoms and distances in Å follow each position.
Positions (direct):
Mg (0.0000, 0.0000, 0.0000)  2 Br 2.62, 4 P 2.79
P (0.2015, 0.5000, 0.8492)  2 P 2.21-2.24
P (0.7985, 0.5000, 0.1508)  2 P 2.21-2.24
Br (0.5000, 0.0000, 0.5000)  2 Mg 2.62

Results
- excess energy over the best structure of this formula in the dataset (kJ/mol of atoms) = 2.6
- formation energy (no corrections) (eV/atom) = -0.2954
- crystal system = monoclinic
- magnetization (μB/cell) = 0.0
- calculated total energy (hartree per atom) = -0.1502

---

5.
Material: MgP2Br
Method: DFT, PBEsol
State: optimized geometry

Lattice parameters (Å, degrees): 3.3629 3.3629 7.2153 90.00 90.00 90.00
Closest atoms and distances in Å follow each position.
Positions (direct):
Mg (0.0000, 0.0000, 0.0000)  1 P 2.50, 4 Br 2.77
P (0.0000, 0.0000, 0.3462)  4 P 2.40, 1 Mg 2.50
P (0.5000, 0.5000, 0.2975)  4 P 2.40
Br (0.5000, 0.5000, 0.8041)  4 Mg 2.77

Results
- excess energy over the best structure of this formula in the dataset (kJ/mol of atoms) = 0.0
- formation energy (no corrections) (eV/atom) = -0.3220
- crystal system = tetragonal
- magnetization (μB/cell) = 0.0
- calculated total energy (hartree per atom) = -0.1512

---

6.
Material: MgP2Br
Method: DFT, PBEsol
State: optimized geometry

Lattice parameters (Å, degrees): 3.8286 3.8286 8.5878 90.00 90.00 128.06
Closest atoms and distances in Å follow each position.
Positions (direct):
Mg (0.0000, 0.0000, 0.0000)  2 Br 2.48, 2 P 2.61
P (0.0000, 0.0000, 0.3901)  2 P 2.15
P (0.5000, 0.5000, 0.2328)  2 P 2.15
Br (0.5000, 0.5000, 0.7869)  2 Mg 2.48

Results
- excess energy over the best structure of this formula in the dataset (kJ/mol of atoms) = 12.9
- formation energy (no corrections) (eV/atom) = -0.1879
- crystal system = orthorhombic
- magnetization (μB/cell) = 0.0
- calculated total energy (hartree per atom) = -0.1463

---

7.
Material: MgPbBr
Method: DFT, PBEsol
State: optimized geometry

Lattice parameters (Å, degrees): 7.5623 7.5623 7.5623 154.19 154.19 36.82
Closest atoms and distances in Å follow each position.
Positions (direct):
Mg (0.0000, 0.0000, 0.0000)  4 Br 2.84
Pb (0.6590, 0.6590, 0.0000)  4 Mg 3.30, 4 Pb 3.38
Br (0.3930, 0.3930, 0.0000)  4 Mg 2.84

Results
- formation energy (no corrections) (eV/atom) = -0.4569
- crystal system = tetragonal
- magnetization (μB/cell) = 0.0
- calculated total energy (hartree per atom) = -0.1097

---

8.
Material: MgTa2PbBr
Method: DFT, PBEsol
State: optimized geometry

Lattice parameters (Å, degrees): 5.3162 5.3162 5.2938 90.00 90.00 90.00
Closest atoms and distances in Å follow each position.
Positions (direct):
Mg (0.0000, 0.0000, 0.0000)  2 Pb 2.65
Ta (0.0000, 0.5000, 0.5000)  2 Pb 2.66
Ta (0.5000, 0.0000, 0.5000)  2 Pb 2.66
Pb (0.0000, 0.0000, 0.5000)  2 Mg 2.65, 4 Ta 2.66
Br (0.5000, 0.5000, 0.0000)  8 Ta 3.75, 4 Mg 3.76

Results
- formation energy (no corrections) (eV/atom) = 1.9021
- crystal system = tetragonal
- magnetization (μB/cell) = 4.8
- calculated total energy (hartree per atom) = -0.1704

---

9.
Material: Mg2PdBr
Method: DFT, PBEsol
State: optimized geometry

Lattice parameters (Å, degrees): 6.1228 6.1228 6.1228 109.70 109.70 109.02
Closest atoms and distances in Å follow each position.
Positions (direct):
Mg (0.1102, 0.1250, 0.4852)  2 Pd 2.58, 2 Br 2.72
Mg (0.3750, 0.8898, 0.0148)  2 Pd 2.58, 2 Br 2.72
Mg (0.6398, 0.6250, 0.5148)  2 Pd 2.58, 2 Br 2.72
Mg (0.8750, 0.3602, 0.9852)  2 Pd 2.58, 2 Br 2.72
Pd (0.0000, 0.0000, 0.0000)  4 Mg 2.58
Pd (0.7500, 0.2500, 0.5000)  4 Mg 2.58
Br (0.2500, 0.7500, 0.5000)  4 Mg 2.72
Br (0.5000, 0.5000, 0.0000)  4 Mg 2.72

Results
- formation energy (no corrections) (eV/atom) = -0.3384
- crystal system = tetragonal
- magnetization (μB/cell) = 0.0
- calculated total energy (hartree per atom) = -0.1159

---

10.
Material: MgPdBr2
Method: DFT, PBEsol
State: optimized geometry

Lattice parameters (Å, degrees): 8.1293 8.1293 8.1293 142.95 142.95 53.40
Closest atoms and distances in Å follow each position.
Positions (direct):
Mg (0.0000, 0.0000, 0.0000)  4 Br 2.57
Mg (0.7500, 0.2500, 0.5000)  4 Br 2.57
Pd (0.2500, 0.7500, 0.5000)  4 Br 2.58
Pd (0.5000, 0.5000, 0.0000)  4 Br 2.58
Br (0.1248, 0.6250, 0.9998)  2 Mg 2.57, 2 Pd 2.58
Br (0.3750, 0.3748, 0.4998)  2 Mg 2.57, 2 Pd 2.58
Br (0.6252, 0.1250, 0.0002)  2 Mg 2.57, 2 Pd 2.58
Br (0.8750, 0.8752, 0.5002)  2 Mg 2.57, 2 Pd 2.58

Results
- formation energy (no corrections) (eV/atom) = -0.4946
- crystal system = tetragonal
- magnetization (μB/cell) = 0.0
- calculated total energy (hartree per atom) = -0.1231

---

11.
Material: MgScPdBr2
Method: DFT, PBEsol
State: optimized geometry

Lattice parameters (Å, degrees): 4.8785 4.8785 5.1322 90.00 90.00 90.00
Closest atoms and distances in Å follow each position.
Positions (direct):
Mg (0.0000, 0.0000, 0.0000)  4 Br 2.44, 2 Pd 2.57
Sc (0.5000, 0.5000, 0.5000)  4 Pd 3.45, 8 Br 3.54
Pd (0.0000, 0.0000, 0.5000)  2 Mg 2.57
Br (0.0000, 0.5000, 0.0000)  2 Mg 2.44
Br (0.5000, 0.0000, 0.0000)  2 Mg 2.44

Results
- formation energy (no corrections) (eV/atom) = -0.1407
- crystal system = tetragonal
- magnetization (μB/cell) = 0.8
- calculated total energy (hartree per atom) = -0.1376

---

12.
Material: MgZrPtBr2
Method: DFT, PBEsol
State: optimized geometry

Lattice parameters (Å, degrees): 4.7393 4.7393 5.1623 90.00 90.00 90.00
Closest atoms and distances in Å follow each position.
Positions (direct):
Mg (0.0000, 0.0000, 0.0000)  4 Br 2.37, 2 Pt 2.58
Zr (0.5000, 0.5000, 0.5000)  4 Pt 3.35, 8 Br 3.50
Pt (0.0000, 0.0000, 0.5000)  2 Mg 2.58
Br (0.0000, 0.5000, 0.0000)  2 Mg 2.37
Br (0.5000, 0.0000, 0.0000)  2 Mg 2.37

Results
- formation energy (no corrections) (eV/atom) = 0.1457
- crystal system = tetragonal
- magnetization (μB/cell) = 1.5
- calculated total energy (hartree per atom) = -0.1527